Entry 1:
Computed, not measured: crystalline Ta3SnPd at its relaxed geometry at the PBE level of DFT.

Cell lengths 4.848, 4.848, 4.848 Å; angles 90.00, 90.00, 90.00 degrees
Space group Pm-3m (No. 221)
Asymmetric unit:
Ta: 0.000 0.000 0.500 [3 per cell]
Sn: 0.500 0.500 0.500 [1 per cell]
Pd: 0.000 0.000 0.000 [1 per cell]

VASP energy ... -7.78 eV per atom
ΔH_f (0 K) ... 1168.0 meV per atom
Density of states at the Fermi level ... 1.13 states/eV/atom

---

Entry 2:
Computed, not measured: crystalline BaPa2GaO8 at its relaxed geometry at the PBE level of DFT.

Cell lengths 5.189, 7.205, 5.193 Å; angles 90.00, 95.54, 90.00 degrees
Space group P2/m (No. 10)
Asymmetric unit:
Ba: 0.000 0.000 0.000 [1 per cell]
Pa: 0.500 0.258 0.500 [2 per cell]
Ga: 0.000 0.500 0.000 [1 per cell]
O: 0.198 0.307 0.200 [4 per cell]
O: 0.319 0.500 0.682 [2 per cell]
O: 0.339 0.000 0.663 [2 per cell]

VASP energy ... -8.07 eV per atom
E_form (uncorrected) ... -2767 meV/atom
Density of states at the Fermi level ... 0.71 states/eV/atom

---

Entry 3:
Computed, not measured: crystalline BeNiIr2 at its relaxed geometry at the PBE level of DFT.

Cell lengths 2.795, 2.795, 6.107 Å; angles 90.00, 90.00, 90.00 degrees
Space group P4/mmm (No. 123)
Asymmetric unit:
Be: 0.000 0.000 0.000 [1 per cell]
Ni: 0.000 0.000 0.500 [1 per cell]
Ir: 0.500 0.500 0.224 [2 per cell]

VASP energy ... -7.01 eV per atom
ΔH_f (0 K) ... -198.3 meV per atom
Density of states at the Fermi level ... 1.50 states/eV/atom

---

Entry 4:
Computed, not measured: crystalline RbSiBr6 at its relaxed geometry at the PBE level of DFT.

Cell lengths 8.985, 9.696, 7.012 Å; angles 90.00, 112.02, 90.00 degrees
Space group C2/m (No. 12)
Asymmetric unit:
Rb: 0.000 0.000 0.000 [2 per cell]
Si: 0.000 0.500 0.500 [2 per cell]
Br: 0.118 0.324 0.756 [8 per cell]
Br: 0.238 0.500 0.420 [4 per cell]

VASP energy ... -2.77 eV per atom
E_form (uncorrected) ... -718 meV/atom
Density of states at the Fermi level ... 1.55 states/eV/atom

---

The records above give, respectively, size of the total moment values of 0.0 0.9 0.0 0.0 μB/cell.